No. 1
# BaMnCrO4 (PBE with a Hubbard U, relaxed)
data_BaMnCrO4
_chemical_formula_sum 'Ba2 Mn2 Cr2 O8'
_symmetry_space_group_name_H-M 'P 1 21/m 1'
_symmetry_Int_Tables_number 11
_cell_length_a 5.937
_cell_length_b 5.671
_cell_length_c 6.821
_cell_angle_alpha 90.00
_cell_angle_beta 103.33
_cell_angle_gamma 90.00
loop_
_symmetry_equiv_pos_as_xyz
'x,y,z'
'-x,-y,-z'
'-x,y+1/2,-z'
'x,-y+1/2,z'
loop_
_atom_site_label
_atom_site_fract_x
_atom_site_fract_y
_atom_site_fract_z
Ba1 0.246 0.250 0.034
Mn1 0.317 0.750 0.339
Cr1 0.087 0.250 0.501
O1 0.026 0.524 0.315
O2 0.364 0.750 0.085
O3 0.398 0.250 0.476
# Crystal system   monoclinic
# Density of states at the Fermi level   1.96 states/eV per cell

No. 2
# Ba2MnCrO6 (PBE with a Hubbard U, relaxed)
data_Ba2MnCrO6
_chemical_formula_sum 'Ba2 Mn1 Cr1 O6'
_symmetry_space_group_name_H-M 'P -3 m 1'
_symmetry_Int_Tables_number 164
_symmetry_space_group_name_Hall '-P 3 2"'
_cell_length_a 5.7976
_cell_length_b 5.7976
_cell_length_c 4.9764
_cell_angle_alpha 90.00
_cell_angle_beta 90.00
_cell_angle_gamma 120.00
loop_
_atom_site_label
_atom_site_fract_x
_atom_site_fract_y
_atom_site_fract_z
Ba1 0.3333 0.6667 0.2381
Mn1 0.0000 0.0000 0.0000
Cr1 0.0000 0.0000 0.5000
O1 0.1489 0.2977 0.7522
# Crystal system   trigonal

No. 3
# Ba3Mn2CrO8 (PBE with a Hubbard U, relaxed)
data_Ba3Mn2CrO8
_chemical_formula_sum 'Ba3 Mn2 Cr1 O8'
_symmetry_space_group_name_H-M 'P -3 m 1'
_symmetry_Int_Tables_number 164
_symmetry_space_group_name_Hall '-P 3 2"'
_cell_length_a 5.8129
_cell_length_b 5.8129
_cell_length_c 7.4931
_cell_angle_alpha 90.00
_cell_angle_beta 90.00
_cell_angle_gamma 120.00
loop_
_atom_site_label
_atom_site_fract_x
_atom_site_fract_y
_atom_site_fract_z
Ba1 0.0000 0.0000 0.0000
Ba2 0.3333 0.6667 0.6528
Mn1 0.3333 0.6667 0.2244
Cr1 0.0000 0.0000 0.5000
O1 0.1628 0.3256 0.3327
O2 0.3333 0.6667 0.9897
# Crystal system   trigonal
# Density of states at the Fermi level   3.33 states/eV per cell

No. 4
# BaMn3Cr4O12 (PBE with a Hubbard U, relaxed)
data_BaMn3Cr4O12
_chemical_formula_sum 'Ba2 Mn6 Cr8 O24'
_symmetry_space_group_name_H-M 'I m -3'
_symmetry_Int_Tables_number 204
_symmetry_space_group_name_Hall '-I 2 2 3'
_cell_length_a 7.564
_cell_length_b 7.564
_cell_length_c 7.564
_cell_angle_alpha 90.00
_cell_angle_beta 90.00
_cell_angle_gamma 90.00
loop_
_atom_site_label
_atom_site_fract_x
_atom_site_fract_y
_atom_site_fract_z
Ba1 0.000 0.000 0.000
Mn1 0.000 0.000 0.500
Cr1 0.250 0.250 0.250
O1 0.000 0.316 0.182
# Crystal system   cubic
# Density of states at the Fermi level   19.11 states/eV per cell

No. 5
# BaMnCrO6 (PBE with a Hubbard U, relaxed)
data_BaMnCrO6
_chemical_formula_sum 'Ba1 Mn1 Cr1 O6'
_symmetry_space_group_name_H-M 'P 3'
_symmetry_Int_Tables_number 143
_cell_length_a 5.0715
_cell_length_b 5.0715
_cell_length_c 5.7215
_cell_angle_alpha 90.00
_cell_angle_beta 90.00
_cell_angle_gamma 120.00
loop_
_symmetry_equiv_pos_as_xyz
'x,y,z'
'-y,x-y,z'
'-x+y,-x,z'
loop_
_atom_site_label
_atom_site_fract_x
_atom_site_fract_y
_atom_site_fract_z
Ba1 0.0000 0.0000 0.0000
Mn1 0.6667 0.3333 0.5238
Cr1 0.3333 0.6667 0.4999
O1 0.0094 0.6164 0.3318
O2 0.0107 0.4135 0.7051
# Crystal system   trigonal

No. 6
# BaMnCr2O8 (PBE with a Hubbard U, relaxed)
data_BaMnCr2O8
_chemical_formula_sum 'Ba1 Mn1 Cr2 O8'
_symmetry_space_group_name_H-M 'P -3'
_symmetry_Int_Tables_number 147
_cell_length_a 5.5670
_cell_length_b 5.5670
_cell_length_c 7.4467
_cell_angle_alpha 90.00
_cell_angle_beta 90.00
_cell_angle_gamma 120.00
loop_
_symmetry_equiv_pos_as_xyz
'x,y,z'
'-x,-y,-z'
'-y,x-y,z'
'y,-x+y,-z'
'-x+y,-x,z'
'x-y,x,-z'
loop_
_atom_site_label
_atom_site_fract_x
_atom_site_fract_y
_atom_site_fract_z
Ba1 0.0000 0.0000 0.0000
Mn1 0.0000 0.0000 0.5000
Cr1 0.3333 0.6667 0.7560
O1 0.1622 0.3372 0.6865
O2 0.3333 0.6667 0.9780
# Crystal system   trigonal
# Density of states at the Fermi level   0.00 states/eV per cell

No. 7
# Ba2Mn2CrO6 (PBE with a Hubbard U, relaxed)
data_Ba2Mn2CrO6
_chemical_formula_sum 'Ba6 Mn6 Cr3 O18'
_symmetry_space_group_name_H-M 'R -3 m'
_symmetry_Int_Tables_number 166
_symmetry_space_group_name_Hall '-R 3 2"'
_cell_length_a 6.0099
_cell_length_b 6.0099
_cell_length_c 16.6738
_cell_angle_alpha 90.00
_cell_angle_beta 90.00
_cell_angle_gamma 120.00
loop_
_atom_site_label
_atom_site_fract_x
_atom_site_fract_y
_atom_site_fract_z
Ba1 0.0000 0.0000 0.2107
Mn1 0.0000 0.0000 0.4079
Cr1 0.0000 0.0000 0.0000
O1 0.0303 0.5152 0.7457
# Crystal system   trigonal
# Density of states at the Fermi level   22.16 states/eV per cell

Number 1: VASP energy -7.070 eV/atom. Number 2: VASP energy -6.926 eV/atom. Number 3: VASP energy -6.850 eV/atom. Number 4: VASP energy -7.547 eV/atom. Number 5: VASP energy -6.783 eV/atom. Number 6: VASP energy -7.065 eV/atom. Number 7: VASP energy -6.950 eV/atom.